DFT (PBE-GGA) results for NbTcNi after structural relaxation. Values from VASP.

Structure (Quantum ESPRESSO input):
```
&SYSTEM
  ibrav = 0, nat = 12, ntyp = 3
/
ATOMIC_SPECIES
Nb 92.91 Nb.upf
Tc 98.00 Tc.upf
Ni 58.69 Ni.upf
CELL_PARAMETERS angstrom
-0.832 2.543 4.623
-3.865 1.443 -1.489
-3.393 -6.169 2.833
ATOMIC_POSITIONS angstrom
Nb -0.631 0.818 2.432
Nb -4.261 -1.546 3.104
Nb -1.569 -1.844 2.288
Nb -5.199 -4.207 2.960
Tc -3.066 -2.762 5.285
Tc -3.302 1.044 3.124
Tc -1.971 -0.586 4.551
Tc -5.601 -2.949 5.223
Ni -1.052 2.093 4.759
Ni -4.681 -0.270 5.431
Ni -2.651 -4.063 2.947
Ni -2.887 -0.257 0.786
```

Its theoretical density is 9.3 g/cm3. For the energy relative to the elements, the calculation gives -27 meV per atom. The distance to the lowest polymorph of the same formula comes out at 0.124 eV per atom.



DFT (PBE-GGA) results for HoSi3NiRu after structural relaxation. Values from VASP.

Structure (Quantum ESPRESSO input):
```
&SYSTEM
  ibrav = 0, nat = 12, ntyp = 4
/
ATOMIC_SPECIES
Ho 164.93 Ho.upf
Si 28.09 Si.upf
Ni 58.69 Ni.upf
Ru 101.07 Ru.upf
CELL_PARAMETERS angstrom
-1.643 -5.032 1.499
-1.251 -1.316 -5.791
6.656 -1.549 2.095
ATOMIC_POSITIONS angstrom
Ho 2.255 -5.050 0.661
Ho 1.507 -2.847 -2.858
Si 2.281 -2.243 0.017
Si -0.378 -0.397 -1.748
Si -1.694 -3.435 -3.293
Si -1.199 -2.914 -0.999
Si -0.873 -0.919 -4.042
Si 1.482 -5.654 -2.215
Ni 4.279 -2.974 -0.248
Ni -0.517 -4.923 -1.949
Ru 0.212 -1.486 0.292
Ru 3.550 -6.411 -2.489
```

Its theoretical density is 6.3 g/cm3. The energy relative to the elements, uncorrected comes out at -2.4 eV/f.u.



DFT (PBE-GGA) results for Ca2TlCo after structural relaxation. Values from VASP.

Structure (Quantum ESPRESSO input):
```
&SYSTEM
  ibrav = 0, nat = 4, ntyp = 3
/
ATOMIC_SPECIES
Tl 204.38 Tl.upf
Co 58.93 Co.upf
Ca 40.08 Ca.upf
CELL_PARAMETERS angstrom
3.551 0.017 0.000
-0.016 3.551 0.000
0.000 0.000 8.346
ATOMIC_POSITIONS angstrom
Tl 1.767 1.784 5.770
Co 0.000 0.000 4.540
Ca 0.000 0.000 7.867
Ca 1.767 1.784 2.688
```

Its theoretical density is 5.4 g/cm3. For the energy relative to the elements, the calculation gives 124 meV per atom.



DFT (PBE-GGA) results for InPt2Br after structural relaxation. Values from VASP.

Structure (Quantum ESPRESSO input):
```
&SYSTEM
  ibrav = 0, nat = 4, ntyp = 3
/
ATOMIC_SPECIES
Br 79.90 Br.upf
Pt 195.08 Pt.upf
In 114.82 In.upf
CELL_PARAMETERS angstrom
4.764 0.000 0.000
2.382 4.126 0.000
2.382 1.375 3.890
ATOMIC_POSITIONS angstrom
Br 4.764 2.750 1.945
Pt 0.000 0.000 0.000
Pt 2.382 1.375 0.972
In 7.146 4.126 2.917
```

Its theoretical density is 12.7 g/cm3. The energy relative to the elements, uncorrected comes out at 1.1 eV/f.u. The distance to the lowest polymorph of the same formula comes out at 0.419 eV per atom.



DFT (PBE-GGA) results for Y4NpBi5 after structural relaxation. Values from VASP.

Structure (Quantum ESPRESSO input):
```
&SYSTEM
  ibrav = 0, nat = 10, ntyp = 3
/
ATOMIC_SPECIES
Y 88.91 Y.upf
Np 237.00 Np.upf
Bi 208.98 Bi.upf
CELL_PARAMETERS angstrom
5.725 0.000 2.761
2.863 7.103 1.381
-0.223 0.000 7.778
ATOMIC_POSITIONS angstrom
Y 3.263 2.848 7.881
Y 6.745 5.681 7.977
Y 1.631 1.422 3.949
Y 5.113 4.255 4.045
Np 0.007 0.000 0.003
Bi 6.127 2.842 9.258
Bi 3.880 5.677 6.602
Bi 4.496 1.426 5.324
Bi 2.249 4.260 2.668
Bi 2.869 0.000 1.384
```

Its theoretical density is 8.5 g/cm3. For the energy relative to the elements, the calculation gives -688 meV per atom.



DFT (PBE-GGA) results for Er6Pt5Au after structural relaxation. Values from VASP.

Structure (Quantum ESPRESSO input):
```
&SYSTEM
  ibrav = 0, nat = 12, ntyp = 3
/
ATOMIC_SPECIES
Au 196.97 Au.upf
Pt 195.08 Pt.upf
Er 167.26 Er.upf
CELL_PARAMETERS angstrom
4.730 0.020 -1.380
-0.956 6.119 -3.186
-0.085 0.454 8.509
ATOMIC_POSITIONS angstrom
Au 0.000 0.000 0.000
Pt 2.958 1.169 1.358
Pt 1.195 2.337 4.129
Pt -0.478 3.059 -1.593
Pt 2.494 4.256 -0.187
Pt 0.731 5.424 2.584
Er 3.323 3.855 2.648
Er 3.795 0.834 4.221
Er 1.654 4.562 -3.060
Er 2.120 1.577 -1.506
Er -0.106 5.759 -0.279
Er 0.366 2.738 1.294
```

Its theoretical density is 14.3 g/cm3. For the energy relative to the elements, the calculation gives -1198 meV per atom.



DFT (PBE-GGA) results for MnCuSi2 after structural relaxation. Values from VASP.

Structure (Quantum ESPRESSO input):
```
&SYSTEM
  ibrav = 0, nat = 4, ntyp = 3
/
ATOMIC_SPECIES
Cu 63.55 Cu.upf
Mn 54.94 Mn.upf
Si 28.09 Si.upf
CELL_PARAMETERS angstrom
-1.486 1.044 -1.857
-2.087 -1.171 1.010
-1.265 6.071 4.424
ATOMIC_POSITIONS angstrom
Cu -0.638 3.063 2.232
Mn -2.741 4.520 2.917
Si -1.230 5.904 4.303
Si -2.125 1.563 0.762
```

Its theoretical density is 5.6 g/cm3. The energy relative to the elements, uncorrected comes out at 0.6 eV/f.u.



DFT (PBE-GGA) results for Cs4Pa3WN8 after structural relaxation. Values from VASP.

Structure (Quantum ESPRESSO input):
```
&SYSTEM
  ibrav = 0, nat = 16, ntyp = 4
/
ATOMIC_SPECIES
Cs 132.91 Cs.upf
Pa 231.04 Pa.upf
W 183.84 W.upf
N 14.01 N.upf
CELL_PARAMETERS angstrom
7.044 0.000 0.000
0.000 8.129 0.731
-3.522 -3.501 4.994
ATOMIC_POSITIONS angstrom
Cs 3.522 0.000 0.000
Cs 1.761 -1.750 2.497
Cs 0.000 0.000 0.000
Cs -1.761 -1.750 2.497
Pa 3.522 4.065 0.365
Pa 1.761 2.314 2.863
Pa -1.761 2.314 2.863
W 0.000 4.065 0.365
N -1.876 1.943 5.166
N 0.000 3.808 2.507
N 0.000 0.899 3.112
N 1.876 1.943 5.166
N 1.645 2.686 0.559
N 3.522 3.730 2.613
N 3.522 0.821 3.219
N 5.398 2.686 0.559
```

Its theoretical density is 8.3 g/cm3. The energy relative to the elements, uncorrected comes out at -12.7 eV/f.u.